Compound: RbGa3I
Source: Alexandria
Functional: PBE-GGA
Structure: relaxed

Structure (extended XYZ):
```
5
Lattice="6.296 0.000 0.000 0.000 6.296 0.000 0.000 0.000 6.296" Properties=species:S:1:pos:R:3 pbc="T T T"
I 3.148 3.148 3.148
Ga 0.000 0.000 3.148
Ga 3.148 0.000 0.000
Rb 0.000 0.000 0.000
Ga 0.000 3.148 0.000
```

## Properties
final energy	-1.49	eV/atom
uncorrected formation energy	0.826	eV per atom
ρ	2805	kg/m³
SG	No. 221
offset from the most stable computed form	520	meV per atom
M_tot	0.00	μB per cell